# SbHW, optimized geometry, DFT PBE-GGA
# V (Å³/cell): 108
# E (eV per formula unit): -19.5
# Space-group type: P-1 (2)
data_SbHW
_cell_length_a 7.384
_cell_length_b 9.615
_cell_length_c 22.806
_cell_angle_alpha 162.19
_cell_angle_beta 160.60
_cell_angle_gamma 12.96
_space_group_name_H-M_alt 'P 1'
_space_group_IT_number 1
loop_
_space_group_symop_operation_xyz
'x,y,z'
loop_
_atom_site_label
_atom_site_fract_x
_atom_site_fract_y
_atom_site_fract_z
W1 0.936 0.855 0.717
W2 0.443 0.796 0.717
H1 0.874 0.630 0.912
Sb1 0.408 0.364 0.419
Sb2 0.971 0.287 0.014
H2 0.506 0.021 0.521